#a
The following is a DFT calculation (PBE-GGA) of a relaxed Te3MoCl crystal.

Output
The calculation puts the calculated density at 5.64 g/cm3.

Cell lengths 5.331, 5.331, 5.331 Å; angles 90.00, 90.00, 90.00 degrees
Space group Pm-3m (No. 221)
Unique sites:
Te 0.000 0.000 0.500 [3 per cell]
Mo 0.500 0.500 0.500 [1 per cell]
Cl 0.000 0.000 0.000 [1 per cell]

#b
The following is a DFT calculation (PBE-GGA) of a relaxed Te3MoCl crystal.

Output
The calculation puts the calculated density at 5.82 g/cm3.

Cell lengths 5.274, 5.274, 5.274 Å; angles 90.00, 90.00, 90.00 degrees
Space group Pm-3m (No. 221)
Unique sites:
Te 0.000 0.000 0.500 [3 per cell]
Mo 0.000 0.000 0.000 [1 per cell]
Cl 0.500 0.500 0.500 [1 per cell]

Which of them is most stable, and which least? Most stable: #b; least stable: #a.

#a
The following is a DFT calculation (PBE-GGA) of a relaxed Ti2MoCl crystal.

Output
The calculation puts the calculated density at 5.81 g/cm3.

Cell lengths 6.378, 6.378, 6.378 Å; angles 90.00, 90.00, 90.00 degrees
Space group Fm-3m (No. 225)
Unique sites:
Ti 0.250 0.250 0.250 [8 per cell]
Mo 0.000 0.000 0.000 [4 per cell]
Cl 0.000 0.000 0.500 [4 per cell]

#b
The following is a DFT calculation (PBE-GGA) of a relaxed Ti2MoCl crystal.

Output
The calculation puts the calculated density at 5.70 g/cm3.

Cell lengths 6.887, 6.887, 5.577 Å; angles 90.00, 90.00, 90.00 degrees
Space group I-42d (No. 122)
Unique sites:
Ti 0.212 0.750 0.125 [8 per cell]
Mo 0.000 0.000 0.500 [4 per cell]
Cl 0.000 0.000 0.000 [4 per cell]

Which of them is most stable, and which least? Most stable: #b; least stable: #a.

#a
The following is a DFT calculation (PBE-GGA) of a relaxed Ti3MoCl crystal.

Output
The calculation puts the calculated density at 5.33 g/cm3.

Cell lengths 4.409, 4.409, 4.409 Å; angles 90.00, 90.00, 90.00 degrees
Space group Pm-3m (No. 221)
Unique sites:
Ti 0.000 0.000 0.500 [3 per cell]
Mo 0.500 0.500 0.500 [1 per cell]
Cl 0.000 0.000 0.000 [1 per cell]

#b
The following is a DFT calculation (PBE-GGA) of a relaxed Ti3MoCl crystal.

Output
The calculation puts the calculated density at 4.00 g/cm3.

Cell lengths 4.850, 4.850, 4.850 Å; angles 90.00, 90.00, 90.00 degrees
Space group Pm-3m (No. 221)
Unique sites:
Ti 0.000 0.000 0.500 [3 per cell]
Mo 0.000 0.000 0.000 [1 per cell]
Cl 0.500 0.500 0.500 [1 per cell]

Which of them is most stable, and which least? Most stable: #a; least stable: #b.

#a
The following is a DFT calculation (PBE-GGA) of a relaxed TiMoCl2 crystal.

Output
The calculation puts the calculated density at 5.20 g/cm3.

Cell lengths 4.169, 4.169, 15.792 Å; angles 90.00, 90.00, 90.00 degrees
Space group I-42d (No. 122)
Unique sites:
Ti 0.000 0.000 0.000 [4 per cell]
Mo 0.000 0.000 0.500 [4 per cell]
Cl 0.248 0.250 0.625 [8 per cell]

#b
The following is a DFT calculation (PBE-GGA) of a relaxed TiMoCl2 crystal.

Output
The calculation puts the calculated density at 5.46 g/cm3.

Cell lengths 3.0026, 3.0026, 25.1065 Å; angles 90.00, 90.00, 120.00 degrees
Space group R-3m (No. 166, hexagonal axes)
Unique sites:
Ti 0.0000 0.0000 0.0000 [3 per cell]
Mo 0.0000 0.0000 0.5000 [3 per cell]
Cl 0.0000 0.0000 0.4031 [6 per cell]

Which of them is most stable, and which least? Most stable: #b; least stable: #a.

#a
The following is a DFT calculation (PBE-GGA) of a relaxed TlMo2Cl crystal.

Output
The calculation puts the calculated density at 7.92 g/cm3.

Cell lengths 3.2569, 3.2569, 29.5611 Å; angles 90.00, 90.00, 120.00 degrees
Space group R3m (No. 160, hexagonal axes)
Unique sites:
Tl 0.0000 0.0000 0.0000 [3 per cell]
Mo 0.0000 0.0000 0.2433 [3 per cell]
Mo 0.0000 0.0000 0.5210 [3 per cell]
Cl 0.0000 0.0000 0.7906 [3 per cell]

#b
The following is a DFT calculation (PBE-GGA) of a relaxed TlMo2Cl crystal.

Output
The calculation puts the calculated density at 10.05 g/cm3.

Cell lengths 6.584, 6.584, 6.584 Å; angles 90.00, 90.00, 90.00 degrees
Space group Fm-3m (No. 225)
Unique sites:
Tl 0.000 0.000 0.000 [4 per cell]
Mo 0.250 0.250 0.250 [8 per cell]
Cl 0.000 0.000 0.500 [4 per cell]

#c
The following is a DFT calculation (PBE-GGA) of a relaxed TlMo2Cl crystal.

Output
The calculation puts the calculated density at 8.78 g/cm3.

Cell lengths 4.173, 4.173, 18.748 Å; angles 90.00, 90.00, 90.00 degrees
Space group I-42d (No. 122)
Unique sites:
Tl 0.000 0.000 0.000 [4 per cell]
Mo 0.170 0.250 0.625 [8 per cell]
Cl 0.000 0.000 0.500 [4 per cell]

Which of them is most stable, and which least? Most stable: #a; least stable: #b.

#a
The following is a DFT calculation (PBE-GGA) of a relaxed TlMo2Cl crystal.

Output
The calculation puts the calculated density at 10.02 g/cm3.

Cell lengths 4.741, 4.741, 3.183 Å; angles 90.00, 90.00, 90.00 degrees
Space group P4/mmm (No. 123)
Unique sites:
Tl 0.000 0.000 0.000 [1 per cell]
Mo 0.000 0.500 0.500 [2 per cell]
Cl 0.500 0.500 0.000 [1 per cell]

#b
The following is a DFT calculation (PBE-GGA) of a relaxed TlMo2Cl crystal.

Output
The calculation puts the calculated density at 9.43 g/cm3.

Cell lengths 3.001, 4.461, 5.866 Å; angles 90.00, 104.65, 90.00 degrees
Space group Pm (No. 6)
Unique sites:
Tl 0.000 0.000 0.000 [1 per cell]
Mo 0.337 0.500 0.679 [1 per cell]
Mo 0.740 0.000 0.496 [1 per cell]
Cl 0.673 0.500 0.341 [1 per cell]

Which of them is most stable, and which least? Most stable: #b; least stable: #a.

#a
The following is a DFT calculation (PBE-GGA) of a relaxed TlMo2Cl crystal.

Output
The calculation puts the calculated density at 9.78 g/cm3.

Cell lengths 4.322, 4.322, 7.849 Å; angles 90.00, 90.00, 90.00 degrees
Space group I-4m2 (No. 119)
Unique sites:
Tl 0.000 0.000 0.000 [2 per cell]
Mo 0.000 0.000 0.500 [2 per cell]
Mo 0.000 0.500 0.250 [2 per cell]
Cl 0.000 0.500 0.750 [2 per cell]

#b
The following is a DFT calculation (PBE-GGA) of a relaxed TlMo2Cl crystal.

Output
The calculation puts the calculated density at 8.66 g/cm3.

Cell lengths 3.161, 3.161, 8.288 Å; angles 90.00, 90.00, 90.00 degrees
Space group P4mm (No. 99)
Unique sites:
Tl 0.000 0.000 0.000 [1 per cell]
Mo 0.000 0.000 0.580 [1 per cell]
Mo 0.500 0.500 0.748 [1 per cell]
Cl 0.500 0.500 0.363 [1 per cell]

#c
The following is a DFT calculation (PBE-GGA) of a relaxed TlMo2Cl crystal.

Output
The calculation puts the calculated density at 9.31 g/cm3.

Cell lengths 5.584, 10.391, 3.264 Å; angles 90.00, 125.59, 90.00 degrees
Space group C2/m (No. 12)
Unique sites:
Tl 0.000 0.000 0.000 [2 per cell]
Mo 0.250 0.250 0.000 [4 per cell]
Cl 0.000 0.500 0.000 [2 per cell]

Which of them is most stable, and which least? Most stable: #b; least stable: #a.

#a
The following is a DFT calculation (PBE-GGA) of a relaxed Tl3MoCl crystal.

Output
The calculation puts the calculated density at 7.44 g/cm3.

Cell lengths 5.498, 5.498, 5.498 Å; angles 90.00, 90.00, 90.00 degrees
Space group Pm-3m (No. 221)
Unique sites:
Tl 0.000 0.000 0.500 [3 per cell]
Mo 0.000 0.000 0.000 [1 per cell]
Cl 0.500 0.500 0.500 [1 per cell]

#b
The following is a DFT calculation (PBE-GGA) of a relaxed Tl3MoCl crystal.

Output
The calculation puts the calculated density at 6.49 g/cm3.

Cell lengths 5.753, 5.753, 5.753 Å; angles 90.00, 90.00, 90.00 degrees
Space group Pm-3m (No. 221)
Unique sites:
Tl 0.000 0.000 0.500 [3 per cell]
Mo 0.500 0.500 0.500 [1 per cell]
Cl 0.000 0.000 0.000 [1 per cell]

Which of them is most stable, and which least? Most stable: #a; least stable: #b.

#a
The following is a DFT calculation (PBE-GGA) of a relaxed TlMo2Cl8 crystal.

Output
The calculation puts the calculated density at 3.22 g/cm3.

Cell lengths 4.961, 8.624, 9.325 Å; angles 65.79, 74.91, 86.77 degrees
Space group P-1 (No. 2)
Unique sites:
Tl 0.000 0.000 0.000 [1 per cell]
Mo 0.287 0.199 0.385 [2 per cell]
Cl 0.168 0.254 0.618 [2 per cell]
Cl 0.222 0.865 0.583 [2 per cell]
Cl 0.345 0.479 0.212 [2 per cell]
Cl 0.406 0.110 0.165 [2 per cell]

#b
The following is a DFT calculation (PBE-GGA) of a relaxed TlMo2Cl8 crystal.

Output
The calculation puts the calculated density at 2.86 g/cm3.

Cell lengths 13.931, 7.546, 8.016 Å; angles 90.00, 110.21, 90.00 degrees
Space group C2/m (No. 12)
Unique sites:
Tl 0.000 0.000 0.000 [2 per cell]
Mo 0.200 0.000 0.682 [4 per cell]
Cl 0.117 0.224 0.770 [8 per cell]
Cl 0.127 0.500 0.187 [4 per cell]
Cl 0.190 0.000 0.389 [4 per cell]

Which of them is most stable, and which least? Most stable: #a; least stable: #b.

#a
The following is a DFT calculation (PBE-GGA) of a relaxed TlMoCl2 crystal.

Output
The calculation puts the calculated density at 5.94 g/cm3.

Cell lengths 3.152, 5.510, 11.944 Å; angles 90.00, 90.00, 90.00 degrees
Space group Immm (No. 71)
Unique sites:
Tl 0.000 0.000 0.000 [2 per cell]
Mo 0.000 0.000 0.500 [2 per cell]
Cl 0.000 0.500 0.162 [4 per cell]

#b
The following is a DFT calculation (PBE-GGA) of a relaxed TlMoCl2 crystal.

Output
The calculation puts the calculated density at 5.92 g/cm3.

Cell lengths 7.474, 7.493, 3.777 Å; angles 90.00, 100.33, 90.00 degrees
Space group C2/m (No. 12)
Unique sites:
Tl 0.000 0.000 0.000 [2 per cell]
Mo 0.000 0.500 0.000 [2 per cell]
Cl 0.250 0.250 0.500 [4 per cell]

#c
The following is a DFT calculation (PBE-GGA) of a relaxed TlMoCl2 crystal.

Output
The calculation puts the calculated density at 6.33 g/cm3.

Cell lengths 7.304, 7.304, 7.304 Å; angles 90.00, 90.00, 90.00 degrees
Space group F-43m (No. 216)
Unique sites:
Tl 0.000 0.000 0.000 [4 per cell]
Mo 0.250 0.250 0.750 [4 per cell]
Cl 0.000 0.000 0.500 [4 per cell]
Cl 0.250 0.250 0.250 [4 per cell]

Which of them is most stable, and which least? Most stable: #a; least stable: #c.

#a
The following is a DFT calculation (PBE-GGA) of a relaxed TlMoCl2 crystal.

Output
The calculation puts the calculated density at 5.17 g/cm3.

Cell lengths 6.084, 6.084, 12.886 Å; angles 90.00, 90.00, 90.00 degrees
Space group I-42d (No. 122)
Unique sites:
Tl 0.000 0.000 0.000 [4 per cell]
Mo 0.000 0.000 0.500 [4 per cell]
Cl 0.126 0.250 0.625 [8 per cell]

#b
The following is a DFT calculation (PBE-GGA) of a relaxed TlMoCl2 crystal.

Output
The calculation puts the calculated density at 5.69 g/cm3.

Cell lengths 4.203, 4.203, 12.257 Å; angles 90.00, 90.00, 90.00 degrees
Space group I-4m2 (No. 119)
Unique sites:
Tl 0.000 0.000 0.000 [2 per cell]
Mo 0.000 0.500 0.250 [2 per cell]
Cl 0.000 0.000 0.500 [2 per cell]
Cl 0.000 0.500 0.750 [2 per cell]

#c
The following is a DFT calculation (PBE-GGA) of a relaxed TlMoCl2 crystal.

Output
The calculation puts the calculated density at 5.41 g/cm3.

Cell lengths 4.342, 5.104, 5.143 Å; angles 90.00, 90.00, 90.00 degrees
Space group Pmm2 (No. 25)
Unique sites:
Tl 0.000 0.000 0.000 [1 per cell]
Mo 0.500 0.500 0.490 [1 per cell]
Cl 0.500 0.000 0.496 [1 per cell]
Cl 0.500 0.500 0.990 [1 per cell]

#d
The following is a DFT calculation (PBE-GGA) of a relaxed TlMoCl2 crystal.

Output
The calculation puts the calculated density at 6.09 g/cm3.

Cell lengths 5.216, 5.216, 3.724 Å; angles 90.00, 90.00, 90.00 degrees
Space group P4/mmm (No. 123)
Unique sites:
Tl 0.000 0.000 0.000 [1 per cell]
Mo 0.500 0.500 0.000 [1 per cell]
Cl 0.000 0.500 0.500 [2 per cell]

Which of them is most stable, and which least? Most stable: #c; least stable: #b.